# 1
TaCuMo2: PBEsol geometry, SCAN.

a = 5.0796 Å, b = 5.0796 Å, c = 2.6070 Å
α = 90.00°, β = 90.00°, γ = 115.52°
Closest atoms and distances in Å follow each position.
Fractional coordinates of all 4 atoms:
Ta1 0.0000 0.0000 0.0000  2 Ta 2.61, 2 Cu 2.71, 8 Mo 2.85
Cu1 0.5000 0.5000 0.0000  2 Cu 2.61, 2 Ta 2.71, 8 Mo 2.85
Mo1 0.0000 0.5000 0.5000  4 Mo 2.61-2.71, 4 Cu 2.85, 4 Ta 2.85
Mo2 0.5000 0.0000 0.5000  4 Mo 2.61-2.71, 4 Cu 2.85, 4 Ta 2.85

## Properties
For the density of states at the Fermi level, the calculation gives 2.840 states/eV per cell. The calculation puts the final energy at -37.623 eV/atom. Its formation energy from the elements is 0.2655 eV per atom. The calculated volume comes out at 15.2 Å³/atom.

***

# 2
SbMoAsI2: PBEsol geometry, SCAN.

a = 5.4488 Å, b = 5.4488 Å, c = 5.4747 Å
α = 90.00°, β = 90.00°, γ = 90.00°
Closest atoms and distances in Å follow each position.
Fractional coordinates of all 5 atoms:
Sb1 0.0000 0.0000 0.0000  2 As 2.74
Mo1 0.5000 0.5000 0.0000  4 Sb 3.85, 8 I 3.86
As1 0.0000 0.0000 0.5000  4 I 2.72, 2 Sb 2.74
I1 0.0000 0.5000 0.5000  2 As 2.72
I2 0.5000 0.0000 0.5000  2 As 2.72

## Properties
The value obtained for the formation energy without anion corrections is 1.106 eV per atom. For the density of states at the Fermi level, the calculation gives 3.600 states/eV per cell. The calculation puts the final energy at -32.058 eV/atom. The calculated volume comes out at 32.5 Å³/atom.

***

# 3
CrCo2Os: PBEsol geometry, SCAN.

a = 2.9338 Å, b = 2.9338 Å, c = 5.3206 Å
α = 90.00°, β = 90.00°, γ = 90.00°
Closest atoms and distances in Å follow each position.
Fractional coordinates of all 4 atoms:
Cr1 0.0000 0.0000 0.0000  5 Co 2.38-2.43, 4 Os 2.52
Co1 0.0000 0.0000 0.5527  4 Co 2.35, 1 Cr 2.38, 4 Os 2.57
Co2 0.5000 0.5000 0.7612  4 Co 2.35, 4 Cr 2.43, 1 Os 2.62
Os1 0.5000 0.5000 0.2690  4 Cr 2.52, 6 Co 2.57-2.70

## Properties
For the density of states at the Fermi level, the calculation gives 3.861 states/eV per cell. The calculation puts the final energy at -31.053 eV/atom. Its formation energy from the elements is 0.1656 eV per atom. The calculated volume comes out at 11.4 Å³/atom.

***

Please write out number 3 again, unchanged.
CrCo2Os: PBEsol geometry, SCAN.

a = 2.9338 Å, b = 2.9338 Å, c = 5.3206 Å
α = 90.00°, β = 90.00°, γ = 90.00°
Closest atoms and distances in Å follow each position.
Fractional coordinates of all 4 atoms:
Cr1 0.0000 0.0000 0.0000  5 Co 2.38-2.43, 4 Os 2.52
Co1 0.0000 0.0000 0.5527  4 Co 2.35, 1 Cr 2.38, 4 Os 2.57
Co2 0.5000 0.5000 0.7612  4 Co 2.35, 4 Cr 2.43, 1 Os 2.62
Os1 0.5000 0.5000 0.2690  4 Cr 2.52, 6 Co 2.57-2.70

## Properties
For the density of states at the Fermi level, the calculation gives 3.861 states/eV per cell. The calculation puts the final energy at -31.053 eV/atom. Its formation energy from the elements is 0.1656 eV per atom. The calculated volume comes out at 11.4 Å³/atom.

***

- calculated volume of number 2 (SbMoAsI2)?
  32.5 Å³/atom

***

- Which formula does entry 3 have?
  CrCo2Os